Entry 1:
The following is a GGA-PBE calculation of an optimized crystal structure of NaTa3O7, from Alexandria.

Lattice parameters (Å, degrees): 6.0550 12.0720 3.8778 90.00 90.00 90.00
With the nearest neighbours (Å) after each atom.
Space group Cmmm (No. 65)
One atom of each set of equivalent atoms:
Na  0.0000  0.0000  0.0000  4 O 2.20
Ta  0.0000  0.2496  0.0000  6 O 1.95-2.18
Ta  0.0000  0.5000  0.0000  6 O 1.94-2.09
O  0.0000  0.2318  0.5000  2 Ta 1.95
O  0.0000  0.5000  0.5000  2 Ta 1.94
O  0.2369  0.3739  0.0000  3 Ta 2.08-2.18, 1 Na 2.20

Values from the calculation:
* formation energy from raw total energies: -2.49 eV per atom
* total magnetic moment: 0.0000 μB/atom
* energy: -197.96 eV/cell

---

Entry 2:
The following is a GGA-PBE calculation of an optimized crystal structure of Na3Ta2O7, from Alexandria.

Lattice parameters (Å, degrees): 3.9825 3.9825 20.4570 90.00 90.00 90.00
With the nearest neighbours (Å) after each atom.
Space group I4/mmm (No. 139)
One atom of each set of equivalent atoms:
Na  0.0000  0.0000  0.0000  12 O 2.79-2.82
Na  0.0000  0.0000  0.1947  1 O 2.28
Ta  0.0000  0.0000  0.3979  6 O 1.88-2.09
O  0.0000  0.0000  0.3060  1 Ta 1.88
O  0.0000  0.0000  0.5000  2 Ta 2.09
O  0.0000  0.5000  0.0952  2 Ta 2.00

Values from the calculation:
* formation energy from raw total energies: -2.33 eV per atom
* total magnetic moment: 0.0782 μB/atom
* energy: -180.68 eV/cell

---

Entry 3:
The following is a GGA-PBE calculation of an optimized crystal structure of Na3TaO, from Alexandria.

Lattice parameters (Å, degrees): 5.9352 5.9352 5.9352 90.00 90.00 90.00
With the nearest neighbours (Å) after each atom.
Space group Pm-3m (No. 221)
One atom of each set of equivalent atoms:
Na  0.0000  0.0000  0.5000  2 Ta 2.97
Ta  0.0000  0.0000  0.0000  6 Na 2.97
O  0.5000  0.5000  0.5000  12 Na 4.20

Values from the calculation:
* formation energy from raw total energies: 1.74 eV per atom
* energy above the lowest structure with this stoichiometry: 5.38 eV/f.u.
* total magnetic moment: 0.9699 μB/atom
* energy: -12.07 eV/cell

---

Entry 4:
The following is a GGA-PBE calculation of an optimized crystal structure of NaTaO2, from Alexandria.

Lattice parameters (Å, degrees): 3.0251 3.0251 21.1370 90.00 90.00 120.00
With the nearest neighbours (Å) after each atom.
Space group R-3m (No. 166, hexagonal axes)
One atom of each set of equivalent atoms:
Na  0.0000  0.0000  0.0000  2 O 2.29
Ta  0.0000  0.0000  0.5000  6 O 2.14
O  0.0000  0.0000  0.1082  3 Ta 2.14, 1 Na 2.29

Values from the calculation:
* formation energy from raw total energies: -1.76 eV per atom
* total magnetic moment: 0.0000 μB/atom
* energy: -90.43 eV/cell

---

Entry 5:
The following is a GGA-PBE calculation of an optimized crystal structure of NaTaO4, from Alexandria.

Lattice parameters (Å, degrees): 3.4292 3.4292 5.9218 90.00 90.00 90.00
With the nearest neighbours (Å) after each atom.
Space group P4/mmm (No. 123)
One atom of each set of equivalent atoms:
Na  0.0000  0.0000  0.0000  8 O 2.44
Ta  0.5000  0.5000  0.5000  8 O 2.10
O  0.0000  0.5000  0.2942  2 Ta 2.10

Values from the calculation:
* formation energy from raw total energies: -1.72 eV per atom
* total magnetic moment: 0.2331 μB/atom
* energy: -43.30 eV/cell

---

Entry 6:
The following is a GGA-PBE calculation of an optimized crystal structure of Na3Ta2O6, from Alexandria.

Lattice parameters (Å, degrees): 3.9259 3.9259 20.0582 90.00 90.00 90.00
With the nearest neighbours (Å) after each atom.
Space group I4/mmm (No. 139)
One atom of each set of equivalent atoms:
Na  0.0000  0.0000  0.0000  8 O 2.57
Na  0.0000  0.0000  0.1945  1 O 2.29
Ta  0.0000  0.0000  0.4015  5 O 1.86-1.99
O  0.0000  0.0000  0.3087  1 Ta 1.86
O  0.0000  0.5000  0.0829  2 Ta 1.99

Values from the calculation:
* formation energy from raw total energies: -2.31 eV per atom
* total magnetic moment: 0.0782 μB/atom
* energy: -165.74 eV/cell

---

Entry 7:
The following is a GGA-PBE calculation of an optimized crystal structure of NaTaO2, from Alexandria.

Lattice parameters (Å, degrees): 3.1961 3.1961 19.6901 90.00 90.00 120.00
With the nearest neighbours (Å) after each atom.
Space group R-3m (No. 166, hexagonal axes)
One atom of each set of equivalent atoms:
Na  0.0000  0.0000  0.0000  6 O 2.33
Ta  0.0000  0.0000  0.5000  2 O 1.86
O  0.0000  0.0000  0.4058  1 Ta 1.86

Values from the calculation:
* formation energy from raw total energies: -1.47 eV per atom
* total magnetic moment: 0.0000 μB/atom
* energy: -86.88 eV/cell

---

Entry 8:
The following is a GGA-PBE calculation of an optimized crystal structure of Na3TaO, from Alexandria.

Lattice parameters (Å, degrees): 4.6785 4.6785 4.6785 90.00 90.00 90.00
With the nearest neighbours (Å) after each atom.
Space group Pm-3m (No. 221)
One atom of each set of equivalent atoms:
Na  0.0000  0.0000  0.5000  2 O 2.34
Ta  0.5000  0.5000  0.5000  12 Na 3.31
O  0.0000  0.0000  0.0000  6 Na 2.34

Values from the calculation:
* formation energy from raw total energies: 0.66 eV per atom
* energy above the lowest structure with this stoichiometry: 0.00 eV/f.u.
* total magnetic moment: 0.0000 μB/atom
* energy: -17.45 eV/cell